KScW2O8 | Alexandria via LeMat-Bulk | PBE with a Hubbard U | optimized geometry; final energy = -0.5487 Ry/atom; space group = P-3m1, No. 164; total magnetic moment = 0.0 Bohr magnetons per cell; DOS(E_F) = 0.0 states/eV/f.u.
1.0
5.914 0.000 0.000
-2.957 5.122 0.000
0.000 0.000 7.362
O K Sc W
8 1 1 2
Direct
0.836 0.672 0.828
0.333 0.667 0.491
0.836 0.164 0.828
0.672 0.836 0.172
0.164 0.836 0.172
0.328 0.164 0.828
0.164 0.328 0.172
0.667 0.333 0.509
0.000 0.000 0.500
0.000 0.000 0.000
0.667 0.333 0.750
0.333 0.667 0.250